# ZnMoN2O PBE+U relaxed
# uncorrected energy = -4.91 eV per atom
data_ZnMoN2O
_space_group_name_H-M_alt 'P 4/m m m'
_space_group_IT_number 123
_space_group_name_Hall '-P 4 2'
_cell_length_a 3.8311
_cell_length_b 3.8311
_cell_length_c 3.9438
_cell_angle_alpha 90.00
_cell_angle_beta 90.00
_cell_angle_gamma 90.00
loop_
_atom_site_label
_atom_site_type_symbol
_atom_site_fract_x
_atom_site_fract_y
_atom_site_fract_z
Zn1 Zn 0.0000 0.0000 0.0000
Mo1 Mo 0.5000 0.5000 0.5000
N1 N 0.0000 0.5000 0.0000
O1 O 0.0000 0.0000 0.5000